# Ac4In2P

A relaxed structure of Ac4In2P (PBE, Alexandria).

Unit cell a=7.062 b=7.062 c=9.478 alpha=120.22 beta=120.22 gamma=39.54
Fractional positions:
Ac1 0.085 0.085 0.365
Ac2 0.332 0.332 0.921
Ac3 0.668 0.668 0.079
Ac4 0.915 0.915 0.635
In1 0.375 0.375 0.338
In2 0.625 0.625 0.662
P1 0.000 0.000 0.000

formation energy: -0.63 eV/atom
total energy: -31.7 eV/cell
energy relative to the lowest polymorph listed for this composition: 0.0 meV/atom
theoretical density: 7.631 g/cm3
Fermi-level density of states: 7.8 states/eV/cell
space group: C2/m (12)

# AcInP2

A relaxed structure of AcInP2 (PBE, Alexandria).

Unit cell a=5.123 b=5.123 c=5.123 alpha=60.00 beta=60.00 gamma=60.00
Fractional positions:
Ac1 0.000 0.000 0.000
In1 0.500 0.500 0.500
P1 0.250 0.250 0.250
P2 0.750 0.750 0.750

formation energy: -0.38 eV/atom
total energy: -19.2 eV/cell
energy relative to the lowest polymorph listed for this composition: 240.2 meV/atom
theoretical density: 7.053 g/cm3
Fermi-level density of states: 3.6 states/eV/cell
space group: Fm-3m (225)

- What is the theoretical density in the first record?
  7.631 g/cm3

- Look up the Fermi-level density of states of the first one.
  7.8 states/eV/cell

- Which formula does entry 1 have?
  Ac4In2P

- Number 2 is which compound?
  AcInP2